# 1
# RbNbSeN2

An optimized crystal structure of RbNbSeN2 (PBE, Alexandria via LeMat-Bulk).

Its density is 4.934 g cm⁻³. The value obtained for the formation energy without anion corrections is 0.067 eV/atom. Its crystal system is tetragonal. The value obtained for the offset from the most stable computed form is 0.0 meV/atom.

The structure in extended XYZ format:
```
5
Lattice="4.281 0.000 0.000 0.000 4.281 0.000 0.000 0.000 5.239" Properties=species:S:1:pos:R:3 pbc="T T T"
Rb 0.000 0.000 0.000
Nb 2.141 2.141 2.619
Se 2.141 2.141 0.000
N 0.000 2.141 2.619
N 2.141 0.000 2.619
```

# 2
# RbNbTeN2

An optimized crystal structure of RbNbTeN2 (PBE, Alexandria via LeMat-Bulk).

Its density is 5.103 g cm⁻³. The value obtained for the formation energy without anion corrections is 2.727 eV/atom. Its crystal system is tetragonal. The value obtained for the offset from the most stable computed form is 2395.2 meV/atom.

The structure in extended XYZ format:
```
5
Lattice="4.197 0.000 0.000 0.000 4.197 0.000 0.000 0.000 6.170" Properties=species:S:1:pos:R:3 pbc="T T T"
Rb 0.000 0.000 0.000
Nb 2.099 2.099 3.085
Te 0.000 0.000 3.085
N 0.000 2.099 0.000
N 2.099 0.000 0.000
```

Question: Among the records above, which one has the lowest offset from the most stable computed form?
Answer: RbNbSeN2